Record 1
A plane-wave DFT calculation with PBE was carried out for a relaxed structure of Tm3Al2ZnCu3.

Values from the calculation:
For the total energy, the calculation gives -37.169 eV per cell. As for the crystal system: orthorhombic. The calculation puts the calculated volume at 18.4 Å³/atom.

a = 3.9476 Å, b = 6.9388 Å, c = 6.9388 Å
α = 119.64°, β = 90.00°, γ = 90.00°
Fractional positions:
Al 0.5000 0.2387 0.0017
Al 0.5000 0.0017 0.2387
Cu 0.0000 0.0072 0.0072
Cu 0.5000 0.6663 0.3257
Cu 0.5000 0.3257 0.6663
Tm 0.0000 0.4179 0.4179
Tm 0.0000 0.9962 0.5874
Tm 0.0000 0.5874 0.9962
Zn 0.5000 0.7591 0.7591

---

Record 2
A plane-wave DFT calculation with PBE was carried out for a relaxed structure of Tb2GdCd3Pt2Au.

Values from the calculation:
For the total energy, the calculation gives -39.353 eV per cell. The calculation puts the energy of formation at -79.1 kJ per mole of atoms. As for the crystal system: orthorhombic. The calculation puts the calculated volume at 22.3 Å³/atom.

a = 3.9365 Å, b = 7.6668 Å, c = 7.6668 Å
α = 120.06°, β = 90.00°, γ = 90.00°
Fractional positions:
Au 0.0000 0.9997 0.9997
Cd 0.5000 0.2616 0.0000
Cd 0.5000 0.0000 0.2616
Cd 0.5000 0.7381 0.7381
Gd 0.0000 0.4094 0.4094
Pt 0.5000 0.6676 0.3333
Pt 0.5000 0.3333 0.6676
Tb 0.0000 0.9999 0.5905
Tb 0.0000 0.5905 0.9999